Record 1
Entry from the Alexandria database: a geometry-optimized Cs2Co3S4 structure (GGA-PBEsol).

Unit cell a=8.908 b=8.908 c=8.908 alpha=145.61 beta=107.01 gamma=83.24
Positions (direct):
1 Cs 0.125 0.249 0.374
2 Cs 0.375 0.749 0.124
3 Cs 0.625 0.251 0.876
4 Cs 0.875 0.751 0.626
5 Co 0.004 0.750 0.254
6 Co 0.250 0.750 0.500
7 Co 0.496 0.750 0.746
8 Co 0.504 0.250 0.254
9 Co 0.750 0.250 0.500
10 Co 0.996 0.250 0.746
11 S 0.045 0.416 0.123
12 S 0.207 0.084 0.629
13 S 0.293 0.923 0.877
14 S 0.455 0.577 0.371
15 S 0.545 0.423 0.629
16 S 0.707 0.077 0.123
17 S 0.793 0.916 0.371
18 S 0.955 0.584 0.877

## Properties
Its formation energy from raw total energies is -619 kJ/mol of formula units. As for the total magnetization: 0.2454 μB/atom.

Record 2
Entry from the Alexandria database: a geometry-optimized CsCo2S2 structure (GGA-PBEsol).

Unit cell a=6.671 b=6.671 c=6.671 alpha=143.56 beta=143.56 gamma=52.49
Positions (direct):
1 Cs 0.000 0.000 0.000
2 Co 0.306 0.306 0.000
3 Co 0.694 0.694 0.000
4 S 0.250 0.750 0.500
5 S 0.750 0.250 0.500

## Properties
Its formation energy from raw total energies is -116 kJ/mol of formula units. As for the total magnetization: 0.0002 μB/atom.

Record 3
Entry from the Alexandria database: a geometry-optimized CsCo3S structure (GGA-PBEsol).

Unit cell a=4.678 b=4.678 c=4.678 alpha=90.00 beta=90.00 gamma=90.00
Positions (direct):
1 Cs 0.000 0.000 0.000
2 Co 0.000 0.000 0.500
3 Co 0.000 0.500 0.000
4 Co 0.500 0.000 0.000
5 S 0.500 0.500 0.500

## Properties
Its formation energy from raw total energies is 1209 kJ/mol of formula units. As for the total magnetization: 0.8243 μB/atom.

Record 4
Entry from the Alexandria database: a geometry-optimized CsCoSb2 structure (GGA-PBEsol).

Unit cell a=5.244 b=5.244 c=5.244 alpha=60.00 beta=60.00 gamma=60.00
Positions (direct):
1 Cs 0.000 0.000 0.000
2 Co 0.500 0.500 0.500
3 Sb 0.250 0.250 0.250
4 Sb 0.750 0.750 0.750

## Properties
Its formation energy from raw total energies is 297 kJ/mol of formula units. As for the total magnetization: 0.3186 μB/atom.

Record 5
Entry from the Alexandria database: a geometry-optimized CsSc2TlCo structure (GGA-PBEsol).

Unit cell a=5.202 b=5.202 c=4.564 alpha=90.00 beta=90.00 gamma=90.00
Positions (direct):
1 Cs 0.000 0.000 0.000
2 Sc 0.000 0.500 0.000
3 Sc 0.500 0.000 0.000
4 Tl 0.500 0.500 0.500
5 Co 0.000 0.000 0.500

## Properties
The calculation puts the formation energy from the elements at 1.425 eV per atom. As for the total magnetization: 0.0477 μB/atom.

Record 6
Entry from the Alexandria database: a geometry-optimized CsY2ScCo structure (GGA-PBEsol).

Unit cell a=5.470 b=5.470 c=5.054 alpha=90.00 beta=90.00 gamma=90.00
Positions (direct):
1 Cs 0.000 0.000 0.000
2 Y 0.000 0.500 0.000
3 Y 0.500 0.000 0.000
4 Sc 0.000 0.000 0.500
5 Co 0.500 0.500 0.500

## Properties
The calculation puts the formation energy from the elements at 1.781 eV per atom. As for the total magnetization: 0.3336 μB/atom.

Record 7
Entry from the Alexandria database: a geometry-optimized CsCoSe2 structure (GGA-PBEsol).

Unit cell a=6.598 b=6.598 c=6.598 alpha=112.78 beta=112.78 gamma=103.04
Positions (direct):
1 Cs 0.000 0.000 0.000
2 Cs 0.750 0.250 0.500
3 Co 0.250 0.750 0.500
4 Co 0.500 0.500 0.000
5 Se 0.266 0.125 0.641
6 Se 0.375 0.734 0.859
7 Se 0.484 0.625 0.359
8 Se 0.875 0.516 0.141

## Properties
Its formation energy from raw total energies is -208 kJ/mol of formula units. As for the total magnetization: 0.0004 μB/atom.

Record 8
Entry from the Alexandria database: a geometry-optimized CsCo2Se structure (GGA-PBEsol).

Unit cell a=8.381 b=8.381 c=8.381 alpha=145.32 beta=145.32 gamma=49.86
Positions (direct):
1 Cs 0.375 0.625 0.750
2 Cs 0.625 0.375 0.250
3 Co 0.000 0.000 0.000
4 Co 0.000 0.000 0.500
5 Co 0.000 0.500 0.000
6 Co 0.500 0.000 0.500
7 Se 0.125 0.875 0.250
8 Se 0.875 0.125 0.750

## Properties
Its formation energy from raw total energies is 118 kJ/mol of formula units. As for the total magnetization: 0.5989 μB/atom.